Entry 1:
Er2Mg2C PBE-GGA optimized geometry; calculated total energy = -4.497 eV per atom; calculated volume = 23.141 Å³/atom; E_form = -0.19 eV per atom
1.0
-0.518 -2.957 -1.780
2.721 -1.983 -0.919
-0.112 -7.178 8.533
Er Mg C
2 2 1
Direct
0.374 0.374 0.878
0.626 0.626 0.122
0.872 0.872 0.385
0.128 0.128 0.615
0.000 0.000 0.000

***

Entry 2:
LaIr2S PBE-GGA optimized geometry; ΔE_f (raw) = -2.2 eV per formula unit; calculated total energy = -7.234 eV per atom; calculated volume = 22.968 Å³/atom
1.0
-0.707 -2.274 -4.312
1.746 -4.187 1.922
-6.476 -5.156 0.967
La S Ir
2 2 4
Direct
0.750 0.250 0.500
0.000 0.000 0.000
0.500 0.500 0.000
0.250 0.750 0.500
0.302 0.625 0.250
0.448 0.125 0.250
0.375 0.552 0.750
0.875 0.698 0.750

***

Entry 3:
CaRu2Pb PBE-GGA optimized geometry; calculated total energy = -5.636 eV per atom; calculated volume = 19.162 Å³/atom; E_form = 0.43 eV per atom
1.0
5.225 -0.152 0.000
1.950 4.850 0.000
-3.587 -2.349 2.989
Ru Ca Pb
2 1 1
Direct
0.250 0.750 0.500
0.000 0.000 0.000
0.500 0.500 0.000
0.750 0.250 0.500

***

Entry 4:
NbSiTe2N PBE-GGA optimized geometry; ΔE_f (raw) = 2.2 eV per formula unit; calculated total energy = -5.586 eV per atom; calculated volume = 20.000 Å³/atom
1.0
5.493 0.000 0.000
0.000 5.493 0.000
0.000 0.000 3.314
N Te Si Nb
1 2 1 1
Direct
0.000 0.000 0.500
0.000 0.500 0.000
0.500 0.000 0.000
0.000 0.000 0.000
0.500 0.500 0.500

***

Entry 5:
ZnPt2 PBE-GGA optimized geometry; calculated total energy = -4.743 eV per atom; calculated volume = 15.513 Å³/atom; E_form = -0.29 eV per atom
1.0
-7.141 9.195 2.527
-6.815 9.669 -1.412
5.386 -10.595 -0.829
Pt Zn
4 2
Direct
0.325 0.825 0.500
0.175 0.675 0.500
0.425 0.425 0.000
0.575 0.575 0.000
0.750 0.250 0.500
0.000 0.000 0.000

***

Entry 6:
Ac12DyY5 PBE-GGA optimized geometry; calculated total energy = -4.740 eV per atom; calculated volume = 40.499 Å³/atom; E_form = 0.05 eV per atom
1.0
-0.818 10.022 -5.554
4.991 1.250 -10.361
-6.488 -1.162 -1.141
Y Ac Dy
5 12 1
Direct
0.166 0.667 0.501
0.333 0.333 0.000
0.500 0.000 0.500
0.667 0.666 0.000
0.833 0.333 0.500
0.835 0.000 0.500
0.165 0.000 0.500
0.999 0.333 0.000
0.499 0.334 0.500
0.332 0.667 0.000
0.666 0.000 0.000
0.001 0.667 0.000
0.832 0.667 0.500
0.669 0.333 0.000
0.501 0.667 0.500
0.334 0.000 0.000
0.168 0.334 0.500
0.000 0.000 0.000

***

Entry 7:
Sr2Zn2Pd3 PBE-GGA optimized geometry; calculated total energy = -3.602 eV per atom; calculated volume = 21.847 Å³/atom; E_form = -0.53 eV per atom
1.0
-1.697 -2.275 -3.136
4.177 -3.107 2.846
-6.449 0.171 3.366
Zn Pd Sr
2 3 2
Direct
0.129 0.259 0.217
0.871 0.741 0.783
0.500 0.000 0.000
0.642 0.284 0.435
0.358 0.716 0.565
0.139 0.279 0.753
0.861 0.721 0.247

***

Entry 8:
WSe2Cl PBE-GGA optimized geometry; ΔE_f (raw) = 3.1 eV per formula unit; calculated total energy = -4.677 eV per atom; calculated volume = 17.303 Å³/atom
1.0
-0.954 -2.696 3.615
2.836 -3.234 -1.656
1.536 4.295 0.666
Cl W Se
1 1 2
Direct
0.750 0.250 0.500
0.500 0.500 0.000
0.250 0.750 0.500
0.000 0.000 0.000